[1]
Density functional theory data (PBE-GGA) for a relaxed structure of NiRh2Au.

The calculation puts the energy above the lowest structure with this stoichiometry at 154 meV/atom. The value obtained for the density of states at the Fermi level is 6.057 states/eV/f.u. As for the total magnetic moment: 0.13 μB per atom.

a = 2.7487 Å, b = 4.6914 Å, c = 9.1850 Å
α = 90.00°, β = 90.00°, γ = 90.00°
Space group Cmm2 (No. 35)
Symmetry-distinct sites (fractional):
Ni (0.0000, 0.0000, 0.0000) [2 per cell]
Rh (0.0000, 0.0000, 0.5235) [2 per cell]
Rh (0.0000, 0.5000, 0.7700) [2 per cell]
Au (0.0000, 0.5000, 0.2500) [2 per cell]

[2]
Density functional theory data (PBE-GGA) for a relaxed structure of LaY2Tl.

The calculation puts the energy above the lowest structure with this stoichiometry at 33 meV/atom. The value obtained for the density of states at the Fermi level is 5.720 states/eV/f.u. As for the total magnetic moment: 0.00 μB per atom.

a = 3.6683 Å, b = 3.6683 Å, c = 9.5082 Å
α = 90.00°, β = 90.00°, γ = 90.00°
Space group P4mm (No. 99)
Symmetry-distinct sites (fractional):
La (0.0000, 0.0000, 0.0000) [1 per cell]
Y (0.0000, 0.0000, 0.4552) [1 per cell]
Y (0.5000, 0.5000, 0.7150) [1 per cell]
Tl (0.5000, 0.5000, 0.2405) [1 per cell]

[3]
Density functional theory data (PBE-GGA) for a relaxed structure of Sb2TeHPb.

The calculation puts the energy above the lowest structure with this stoichiometry at 0 meV/atom. The value obtained for the density of states at the Fermi level is 3.277 states/eV/f.u. As for the total magnetic moment: 0.00 μB per atom.

a = 4.5677 Å, b = 4.5677 Å, c = 5.9727 Å
α = 90.00°, β = 90.00°, γ = 90.00°
Space group P4/mmm (No. 123)
Symmetry-distinct sites (fractional):
Sb (0.0000, 0.5000, 0.0000) [2 per cell]
Te (0.0000, 0.0000, 0.5000) [1 per cell]
H (0.0000, 0.0000, 0.0000) [1 per cell]
Pb (0.5000, 0.5000, 0.5000) [1 per cell]

[4]
Density functional theory data (PBE-GGA) for a relaxed structure of Ta2ZnW.

The value obtained for the density of states at the Fermi level is 3.475 states/eV/f.u. As for the total magnetic moment: 0.00 μB per atom. The calculated total energy comes out at -8.708 eV/atom.

a = 7.2874 Å, b = 7.2874 Å, c = 5.4726 Å
α = 90.00°, β = 90.00°, γ = 90.00°
Space group I-42d (No. 122)
Symmetry-distinct sites (fractional):
Ta (0.2463, 0.2500, 0.1250) [8 per cell]
Zn (0.0000, 0.0000, 0.5000) [4 per cell]
W (0.0000, 0.0000, 0.0000) [4 per cell]

[5]
Density functional theory data (PBE-GGA) for a relaxed structure of NdMgInHg.

The value obtained for the density of states at the Fermi level is 1.477 states/eV/f.u. As for the total magnetic moment: 0.00 μB per atom. The calculated total energy comes out at -2.758 eV/atom.

a = 7.4167 Å, b = 7.4167 Å, c = 7.4167 Å
α = 90.00°, β = 90.00°, γ = 90.00°
Space group F-43m (No. 216)
Symmetry-distinct sites (fractional):
Nd (0.0000, 0.0000, 0.0000) [4 per cell]
Mg (0.0000, 0.0000, 0.5000) [4 per cell]
In (0.2500, 0.2500, 0.2500) [4 per cell]
Hg (0.2500, 0.2500, 0.7500) [4 per cell]

[6]
Density functional theory data (PBE-GGA) for a relaxed structure of CrTcGe2.

The calculation puts the energy above the lowest structure with this stoichiometry at 70 meV/atom. The value obtained for the density of states at the Fermi level is 3.334 states/eV/f.u. As for the total magnetic moment: 0.52 μB per atom.

a = 2.9667 Å, b = 2.9667 Å, c = 23.1412 Å
α = 90.00°, β = 90.00°, γ = 120.00°
Space group R3m (No. 160, hexagonal axes)
Symmetry-distinct sites (fractional):
Cr (0.0000, 0.0000, 0.0000) [3 per cell]
Tc (0.0000, 0.0000, 0.1637) [3 per cell]
Ge (0.0000, 0.0000, 0.4149) [3 per cell]
Ge (0.0000, 0.0000, 0.5816) [3 per cell]